First-principles (PBE-GGA) data for a relaxed structure of CdSi2Pt2, as listed in Alexandria via LeMat-Bulk.

- magnetic moment (μB per cell) = 0.0
- space group = No. 123
- raw total energy (eV per atom) = -5.02
- DOS at the Fermi energy (states/eV/cell) = 2.8
- V (Å³/f.u.) = 82.8

The structure in extended XYZ format:
```
5
Lattice="3.5391 0.0000 0.0000 0.0000 3.5391 0.0000 0.0000 0.0000 6.6115" Properties=species:S:1:pos:R:3 pbc="T T T"
Si 0.0000 1.7695 3.3057
Si 1.7695 0.0000 3.3057
Pt 1.7695 1.7695 1.4793
Pt 1.7695 1.7695 5.1322
Cd 0.0000 0.0000 0.0000
```


First-principles (PBE-GGA) data for a relaxed structure of CdSi2Pt4, as listed in Alexandria via LeMat-Bulk.

- magnetic moment (μB per cell) = 0.0
- space group = No. 46
- raw total energy (eV per atom) = -5.62
- DOS at the Fermi energy (states/eV/cell) = 3.6
- V (Å³/f.u.) = 116.9

The structure in extended XYZ format:
```
14
Lattice="4.9248 0.0002 -2.2055 -1.4367 5.9340 -3.2075 0.4665 0.2340 7.6421" Properties=species:S:1:pos:R:3 pbc="T T T"
Pt 2.2860 1.4168 1.5973
Pt 4.7597 0.3595 2.6527
Pt 0.7152 3.1493 -1.9068
Pt 4.4755 0.9493 -0.2454
Pt 3.5525 3.6195 -2.3107
Pt 3.9630 3.6549 0.8717
Pt 2.0447 4.4417 3.1896
Pt 2.8426 1.1479 4.9689
Si 1.8062 5.2500 -2.2145
Si 1.0123 2.1499 3.5271
Si 2.5264 2.2851 -0.6131
Si 3.8181 2.6506 3.1959
Cd -0.3880 6.1367 4.1125
Cd 1.0161 4.5995 0.6452
```


First-principles (PBE-GGA) data for a relaxed structure of Cd2SiPt, as listed in Alexandria via LeMat-Bulk.

- magnetic moment (μB per cell) = 0.0
- space group = No. 69
- raw total energy (eV per atom) = -3.29
- DOS at the Fermi energy (states/eV/cell) = 1.2
- V (Å³/f.u.) = 71.5

The structure in extended XYZ format:
```
4
Lattice="5.2018 0.0060 -0.0129 1.9790 4.8106 0.0129 -3.5823 -2.4203 2.8580" Properties=species:S:1:pos:R:3 pbc="T T T"
Cd 7.1798 4.8159 0.0000
Cd 3.5914 2.4090 0.0000
Si 0.9935 2.3993 1.4354
Pt 2.6049 -0.0030 1.4226
```


First-principles (PBE-GGA) data for a relaxed structure of CdSi2Pt, as listed in Alexandria via LeMat-Bulk.

- magnetic moment (μB per cell) = 0.0
- space group = No. 122
- raw total energy (eV per atom) = -4.45
- DOS at the Fermi energy (states/eV/cell) = 4.6
- V (Å³/f.u.) = 75.8

The structure in extended XYZ format:
```
8
Lattice="4.3344 0.0000 0.0000 0.0000 4.3344 0.0000 2.1672 2.1672 8.0648" Properties=species:S:1:pos:R:3 pbc="T T T"
Si 3.2508 2.9409 6.0486
Si 3.5607 1.0836 2.0162
Si 0.7737 3.2508 2.0162
Si 5.4180 5.7279 6.0486
Cd 2.1672 4.3344 4.0324
Cd 2.1672 2.1672 0.0000
Pt 4.3344 2.1672 4.0324
Pt 0.0000 0.0000 0.0000
```


Question: V of number 2 (CdSi2Pt4)?
Answer: 116.9 Å³/f.u.


Question: Which formula does entry 1 have?
Answer: CdSi2Pt2